Record 1
This record from Alexandria describes a relaxed Al2CrCu crystal. The functional is PBE-GGA.

```
4
Lattice="8.619 -0.009 -0.006 8.190 2.688 -0.006 8.190 1.305 2.350" Properties=species:S:1:pos:R:3 pbc="T T T"
Al 0.102 0.016 0.010
Al 6.157 0.981 0.576
Cu 18.777 2.992 1.757
Cr 12.461 1.986 1.166
```

* DFT total energy: -5.20 eV per atom
* calculated formation energy: 96.6 meV/atom
* volume: 54.74 Å³ per cell
* symmetry: R3m
* Fermi-level density of states: 1.34 states/eV/f.u.

***

Record 2
This record from Alexandria describes a relaxed AlCrCu2 crystal. The functional is PBE-GGA.

```
4
Lattice="4.147 0.000 0.000 0.000 2.563 0.006 0.000 0.765 4.817" Properties=species:S:1:pos:R:3 pbc="T T T"
Cu 0.000 1.538 2.419
Cu 0.000 0.891 4.809
Al 2.074 0.832 1.206
Cr 2.074 2.496 3.617
```

* DFT total energy: -5.27 eV per atom
* calculated formation energy: 115.5 meV/atom
* volume: 51.18 Å³ per cell
* symmetry: P2/m
* Fermi-level density of states: 3.00 states/eV/f.u.

***

> What is the formula in the second record?

AlCrCu2